## NaMnCu3Se4 (PBEsol)

Data for a geometry-optimized NaMnCu3Se4 structure.

* M_tot: 3.0 μB/f.u.
* formation energy without anion corrections: -282 kJ/mol of formula units
* final energy: -42.49 eV/cell

```
data_NaMnCu3Se4
_cell_length_a 5.754
_cell_length_b 5.754
_cell_length_c 5.754
_cell_angle_alpha 90.00
_cell_angle_beta 90.00
_cell_angle_gamma 90.00
_space_group_name_H-M_alt 'P -4 3 m'
_space_group_IT_number 215
_space_group_name_Hall 'P -4 2 3'
loop_
_atom_site_label
_atom_site_type_symbol
_atom_site_fract_x
_atom_site_fract_y
_atom_site_fract_z
Na1 Na 0.000 0.000 0.000
Mn1 Mn 0.500 0.500 0.500
Cu1 Cu 0.000 0.500 0.500
Se1 Se 0.268 0.268 0.732
```